No. 1
The following is a DFT calculation (PBE) of crystalline KLiNi2 at its relaxed geometry.

```
KLiNi2
1.0
-1.348 2.674 5.271
1.348 -2.674 5.271
1.348 2.674 -5.271
K Li Ni
1 1 2
direct
0.000 0.000 0.000
0.303 0.803 0.500
0.529 0.529 0.000
0.710 0.210 0.500
```

Energy of formation in eV/atom: 0.557
Space-group type: No. 44



No. 2
The following is a DFT calculation (PBE) of crystalline AsPBrO2 at its relaxed geometry.

```
AsPBrO2
1.0
3.735 0.000 0.000
0.000 3.735 0.000
0.000 0.000 6.355
As P Br O
1 1 1 2
direct
0.000 0.000 0.000
0.500 0.500 0.000
0.500 0.500 0.500
0.000 0.500 0.500
0.500 0.000 0.500
```

Formation energy without anion corrections in eV/f.u.: 3.81
Space-group type: No. 123



No. 3
The following is a DFT calculation (PBE) of crystalline Cs2UAs2 at its relaxed geometry.

```
Cs2UAs2
1.0
3.791 -2.188 0.000
3.791 2.188 0.000
-2.818 0.000 13.125
Cs U As
2 1 2
direct
0.056 0.056 0.202
0.944 0.944 0.798
0.500 0.500 0.500
0.206 0.206 0.607
0.794 0.794 0.393
```

Energy of formation in eV/atom: -0.435
Space-group type: No. 12



No. 4
The following is a DFT calculation (PBE) of crystalline CaNdSm at its relaxed geometry.

```
CaNdSm
1.0
3.704 0.000 0.000
-1.852 3.208 0.000
0.000 0.000 9.229
Ca Nd Sm
1 1 1
direct
0.000 0.000 0.000
0.333 0.667 0.652
0.667 0.333 0.344
```

Energy of formation in eV/atom: 0.041
Space-group type: No. 156



Calculated M_tot in order - 0.20, 0.00, 0.31, 0.00 μB/atom